(1)
BaEu3Al | PBE | relaxed

It has space group Pm-3m (No. 221), with a = 6.1523 Å, b = 6.1523 Å, c = 6.1523 Å, α = 90.00°, β = 90.00° and γ = 90.00°. Symmetry generates all atoms from Ba at (0.0000, 0.0000, 0.0000), Eu at (0.0000, 0.5000, 0.5000) and Al at (0.5000, 0.5000, 0.5000).

As for the formation energy: 0.087 eV/atom. The calculation puts the total magnetic moment at 22.95 μB per cell.


(2)
AcSn3Ir | PBE | relaxed

It has space group Cm (No. 8), with a = 6.8804 Å, b = 6.8798 Å, c = 6.5381 Å, α = 90.00°, β = 121.66° and γ = 90.00°. Symmetry generates all atoms from Ac at (0.0000, 0.0000, 0.0000), Sn at (0.0081, 0.2502, 0.5149), Sn at (0.4306, 0.0000, 0.8601) and Ir at (0.1631, 0.5000, 0.3245).

As for the formation energy: -0.577 eV/atom. Its energy above the most stable polymorph in this dataset is 0 meV per atom. The calculation puts the total magnetic moment at 0.00 μB per cell.


Q: The lowest total magnetic moment belongs to which entry?
A: AcSn3Ir


Q: Which of these has the lowest total magnetic moment?
A: AcSn3Ir


Q: Number 2 is which compound?
A: AcSn3Ir